Model i:
This record from Alexandria via LeMat-Bulk describes La2YAu after structural relaxation. The functional is PBEsol.

Structure (CIF):
```
data_La2YAu
_chemical_formula_sum 'La4 Y2 Au2'
_cell_length_a 12.472
_cell_length_b 3.727
_cell_length_c 5.513
_cell_angle_alpha 90.00
_cell_angle_beta 115.87
_cell_angle_gamma 90.00
_space_group_name_H-M_alt 'C 1 m 1'
_space_group_IT_number 8
_space_group_name_Hall 'C -2y'
loop_
_atom_site_label
_atom_site_fract_x
_atom_site_fract_y
_atom_site_fract_z
La1 0.000 0.000 0.000
La2 0.215 0.000 0.722
Y1 0.427 0.000 0.427
Au1 0.226 0.500 0.242
```


Model ii:
This record from Alexandria via LeMat-Bulk describes La2YAu after structural relaxation. The functional is PBEsol.

Structure (CIF):
```
data_La2YAu
_chemical_formula_sum 'La2 Y1 Au1'
_cell_length_a 3.642
_cell_length_b 3.642
_cell_length_c 8.556
_cell_angle_alpha 90.00
_cell_angle_beta 90.00
_cell_angle_gamma 90.00
_space_group_name_H-M_alt 'P 4 m m'
_space_group_IT_number 99
_space_group_name_Hall 'P 4 -2'
loop_
_atom_site_label
_atom_site_fract_x
_atom_site_fract_y
_atom_site_fract_z
La1 0.000 0.000 0.000
La2 0.500 0.500 0.295
Y1 0.000 0.000 0.589
Au1 0.500 0.500 0.769
```


Of them, model i has the lowest stability.